Entry w
Crystalline SiTe3H at its relaxed geometry. Source: Alexandria via LeMat-Bulk, functional PBE.

abc: 4.7390 4.7390 4.7390
angles: 90.00 90.00 90.00
With the nearest neighbours (Å) after each atom.
Fractional positions:
Si  0.0000  0.0000  0.0000  12 Te 3.35
Te  0.0000  0.5000  0.5000  2 H 2.37
Te  0.5000  0.0000  0.5000  2 H 2.37
Te  0.5000  0.5000  0.0000  2 H 2.37
H  0.5000  0.5000  0.5000  6 Te 2.37

Properties
As for the crystal system: cubic. The symmetry is Pm-3m (221). For the spin magnetization, the calculation gives 0.00 μB per formula unit.

***

Entry x
Crystalline SiTe3H at its relaxed geometry. Source: Alexandria via LeMat-Bulk, functional PBE.

abc: 7.3919 13.4319 7.5232
angles: 90.00 91.47 90.00
With the nearest neighbours (Å) after each atom.
Fractional positions:
Si  0.0542  0.2137  0.4058  4 Te 2.54-2.57
Si  0.0542  0.2863  0.9058  4 Te 2.54-2.57
Si  0.9458  0.7137  0.0942  4 Te 2.54-2.57
Si  0.9458  0.7863  0.5942  4 Te 2.54-2.57
Te  0.0703  0.5415  0.1670  1 Si 2.54
Te  0.0703  0.9585  0.6670  1 Si 2.54
Te  0.2028  0.6601  0.5563  1 H 1.69
Te  0.2028  0.8399  0.0563  1 H 1.69
Te  0.2665  0.2117  0.6799  2 Si 2.55-2.56
Te  0.2665  0.2883  0.1799  2 Si 2.55-2.56
Te  0.7335  0.7117  0.8201  2 Si 2.55-2.56
Te  0.7335  0.7883  0.3201  2 Si 2.55-2.56
Te  0.7972  0.1601  0.9437  1 H 1.69
Te  0.7972  0.3399  0.4437  1 H 1.69
Te  0.9297  0.0415  0.3330  1 Si 2.54
Te  0.9297  0.4585  0.8330  1 Si 2.54
H  0.3122  0.7451  0.4325  1 Te 1.69
H  0.3122  0.7549  0.9325  1 Te 1.69
H  0.6878  0.2451  0.0675  1 Te 1.69
H  0.6878  0.2549  0.5675  1 Te 1.69

Properties
As for the crystal system: monoclinic. The symmetry is P2_1/c (14). For the spin magnetization, the calculation gives 0.00 μB per formula unit.

***

The structure with the greatest stability is entry x.

***

Entry w
Crystalline ThSiH at its relaxed geometry. Source: Alexandria via LeMat-Bulk, functional PBE.

abc: 3.9493 3.9493 4.2227
angles: 90.00 90.00 120.00
With the nearest neighbours (Å) after each atom.
Fractional positions:
Th  0.0000  0.0000  0.0000  3 H 2.28
Si  0.3333  0.6667  0.5000  6 Th 3.11, 6 H 3.11
H  0.6667  0.3333  0.0000  3 Th 2.28

Properties
As for the crystal system: hexagonal. The symmetry is P-6m2 (187). For the spin magnetization, the calculation gives 0.00 μB per formula unit.

***

Entry x
Crystalline ThSiH at its relaxed geometry. Source: Alexandria via LeMat-Bulk, functional PBE.

abc: 6.1927 6.1927 4.0701
angles: 90.00 90.00 140.54
With the nearest neighbours (Å) after each atom.
Fractional positions:
Th  0.1422  0.8578  0.7500  4 H 2.41-2.43
Th  0.8578  0.1422  0.2500  4 H 2.41-2.43
Si  0.4413  0.5587  0.7500  2 Si 2.45
Si  0.5587  0.4413  0.2500  2 Si 2.45
H  0.2523  0.7477  0.2500  4 Th 2.41-2.43
H  0.7477  0.2523  0.7500  4 Th 2.41-2.43

Properties
As for the crystal system: orthorhombic. The symmetry is Cmcm (63). For the spin magnetization, the calculation gives 0.00 μB per formula unit.

***

The structure with the greatest stability is entry x.

***

Entry w
Crystalline TiSi2H at its relaxed geometry. Source: Alexandria via LeMat-Bulk, functional PBE.

abc: 4.2259 4.2259 4.2259
angles: 60.00 60.00 60.00
With the nearest neighbours (Å) after each atom.
Fractional positions:
Ti  0.0000  0.0000  0.0000  8 Si 2.59
Si  0.2500  0.2500  0.2500  4 H 2.59, 4 Ti 2.59
Si  0.7500  0.7500  0.7500  4 H 2.59, 4 Ti 2.59
H  0.5000  0.5000  0.5000  8 Si 2.59

Properties
As for the crystal system: cubic. The symmetry is Fm-3m (225). For the spin magnetization, the calculation gives 0.00 μB per formula unit.

***

Entry x
Crystalline TiSi2H at its relaxed geometry. Source: Alexandria via LeMat-Bulk, functional PBE.

abc: 5.9042 5.9042 5.9042
angles: 133.67 133.67 67.61
With the nearest neighbours (Å) after each atom.
Fractional positions:
Ti  0.0000  0.0000  0.0000  4 Si 2.70
Ti  0.7500  0.2500  0.5000  4 Si 2.70
Si  0.3289  0.6250  0.2039  2 H 1.70
Si  0.3750  0.5789  0.7039  2 H 1.70
Si  0.4211  0.1250  0.7961  2 H 1.70
Si  0.8750  0.6711  0.2961  2 H 1.70
H  0.2500  0.7500  0.5000  4 Si 1.70
H  0.5000  0.5000  0.0000  4 Si 1.70

Properties
As for the crystal system: tetragonal. The symmetry is I-42d (122). For the spin magnetization, the calculation gives 0.00 μB per formula unit.

***

The structure with the greatest stability is entry x.

***

Entry w
Crystalline Ti2SiH2 at its relaxed geometry. Source: Alexandria via LeMat-Bulk, functional PBE.

abc: 4.9665 4.9665 4.9665
angles: 139.86 139.86 58.07
With the nearest neighbours (Å) after each atom.
Fractional positions:
Ti  0.1576  0.1576  0.0000  4 H 1.88
Ti  0.8424  0.8424  0.0000  4 H 1.88
Si  0.5000  0.5000  0.0000  8 H 2.76, 10 Ti 2.77-2.97
H  0.2500  0.7500  0.5000  4 Ti 1.88
H  0.7500  0.2500  0.5000  4 Ti 1.88

Properties
As for the crystal system: tetragonal. The symmetry is I4/mmm (139). For the spin magnetization, the calculation gives 0.00 μB per formula unit.

***

Entry x
Crystalline Ti2SiH2 at its relaxed geometry. Source: Alexandria via LeMat-Bulk, functional PBE.

abc: 6.4186 5.4620 4.8808
angles: 76.49 55.83 47.68
With the nearest neighbours (Å) after each atom.
Fractional positions:
Ti  0.0451  0.7049  0.0451  4 H 1.86-1.88
Ti  0.2951  0.9549  0.2951  4 H 1.86-1.88
Ti  0.7049  0.0451  0.7049  4 H 1.86-1.88
Ti  0.9549  0.2951  0.9549  4 H 1.86-1.88
Si  0.3750  0.3750  0.3750  8 H 2.73-2.77, 10 Ti 2.77-2.88
Si  0.6250  0.6250  0.6250  8 H 2.73-2.77, 10 Ti 2.77-2.88
H  0.0017  0.0017  0.2483  4 Ti 1.86-1.88
H  0.2483  0.2483  0.0017  4 Ti 1.86-1.88
H  0.7517  0.7517  0.9983  4 Ti 1.86-1.88
H  0.9983  0.9983  0.7517  4 Ti 1.86-1.88

Properties
As for the crystal system: orthorhombic. The symmetry is Fddd (70). For the spin magnetization, the calculation gives 0.00 μB per formula unit.

***

The structure with the greatest stability is entry w.

***

Entry w
Crystalline TlSi3H at its relaxed geometry. Source: Alexandria via LeMat-Bulk, functional PBE.

abc: 4.3138 4.3138 4.3138
angles: 90.00 90.00 90.00
With the nearest neighbours (Å) after each atom.
Fractional positions:
Tl  0.0000  0.0000  0.0000  12 Si 3.05
Si  0.0000  0.5000  0.5000  2 H 2.16
Si  0.5000  0.0000  0.5000  2 H 2.16
Si  0.5000  0.5000  0.0000  2 H 2.16
H  0.5000  0.5000  0.5000  6 Si 2.16

Properties
As for the crystal system: cubic. The symmetry is Pm-3m (221). For the spin magnetization, the calculation gives 0.00 μB per formula unit.

***

Entry x
Crystalline TlSi3H at its relaxed geometry. Source: Alexandria via LeMat-Bulk, functional PBE.

abc: 5.3455 5.3455 5.3455
angles: 90.00 90.00 90.00
With the nearest neighbours (Å) after each atom.
Fractional positions:
Tl  0.0000  0.0000  0.0000  6 Si 2.67
Si  0.0000  0.0000  0.5000  2 Tl 2.67
Si  0.0000  0.5000  0.0000  2 Tl 2.67
Si  0.5000  0.0000  0.0000  2 Tl 2.67
H  0.5000  0.5000  0.5000  12 Si 3.78

Properties
As for the crystal system: cubic. The symmetry is Pm-3m (221). For the spin magnetization, the calculation gives 0.77 μB per formula unit.

***

The structure with the greatest stability is entry w.

***

Entry w
Crystalline Tl2SiH at its relaxed geometry. Source: Alexandria via LeMat-Bulk, functional PBE.

abc: 7.7715 7.7715 7.7715
angles: 140.79 140.79 56.66
With the nearest neighbours (Å) after each atom.
Fractional positions:
Tl  0.0616  0.6250  0.9366  2 H 2.36
Tl  0.3750  0.3116  0.4366  2 H 2.36
Tl  0.6884  0.1250  0.0634  2 H 2.36
Tl  0.8750  0.9384  0.5634  2 H 2.36
Si  0.2500  0.7500  0.5000  4 Tl 2.70
Si  0.5000  0.5000  0.0000  4 Tl 2.70
H  0.0000  0.0000  0.0000  4 Tl 2.36
H  0.7500  0.2500  0.5000  4 Tl 2.36

Properties
As for the crystal system: tetragonal. The symmetry is I-42d (122). For the spin magnetization, the calculation gives 0.00 μB per formula unit.

***

Entry x
Crystalline Tl2SiH at its relaxed geometry. Source: Alexandria via LeMat-Bulk, functional PBE.

abc: 4.8629 4.8629 4.8629
angles: 60.00 60.00 60.00
With the nearest neighbours (Å) after each atom.
Fractional positions:
Tl  0.2500  0.2500  0.2500  4 H 2.98, 4 Si 2.98
Tl  0.7500  0.7500  0.7500  4 H 2.98, 4 Si 2.98
Si  0.0000  0.0000  0.0000  8 Tl 2.98
H  0.5000  0.5000  0.5000  8 Tl 2.98

Properties
As for the crystal system: cubic. The symmetry is Fm-3m (225). For the spin magnetization, the calculation gives 0.00 μB per formula unit.

***

The structure with the greatest stability is entry w.